No. 1
Rb5Na2Hg4: optimized geometry, PBE-GGA.

The value obtained for the density of states at the Fermi level is 5.83 states/eV/cell. For the magnetization, the calculation gives 0.00 μB per formula unit. The total energy is -0.941 eV per atom. The polymorph energy (0 for the lowest one) is 0.000 eV/atom. The value obtained for the calculated formation energy is -0.152 eV/atom.

Unit cell a=10.568 b=10.568 c=9.477 alpha=98.20 beta=98.20 gamma=29.74
Positions (direct):
Rb  0.000  0.000  0.000
Rb  0.314  0.314  0.393
Rb  0.333  0.333  0.900
Rb  0.667  0.667  0.100
Rb  0.686  0.686  0.607
Na  0.055  0.055  0.641
Na  0.945  0.945  0.359
Hg  0.117  0.117  0.342
Hg  0.472  0.472  0.656
Hg  0.528  0.528  0.344
Hg  0.883  0.883  0.658

***

No. 2
Rb2Na5Hg: optimized geometry, PBE-GGA.

The value obtained for the density of states at the Fermi level is 3.97 states/eV/cell. For the magnetization, the calculation gives 0.00 μB per formula unit. The total energy is -1.126 eV per atom. The polymorph energy (0 for the lowest one) is 0.000 eV/atom. The value obtained for the calculated formation energy is -0.022 eV/atom.

Unit cell a=7.167 b=7.167 c=9.160 alpha=112.95 beta=112.95 gamma=90.05
Positions (direct):
Rb  0.250  0.750  0.000
Rb  0.750  0.250  0.000
Na  0.140  0.140  0.780
Na  0.238  0.238  0.465
Na  0.238  0.727  0.465
Na  0.727  0.238  0.465
Na  0.727  0.727  0.465
Hg  0.346  0.346  0.192

***

No. 3
Rb2NaHg5: optimized geometry, PBE-GGA.

The value obtained for the density of states at the Fermi level is 4.00 states/eV/cell. For the magnetization, the calculation gives 0.00 μB per formula unit. The total energy is -0.801 eV per atom. The value obtained for the calculated formation energy is -0.205 eV/atom.

Unit cell a=8.845 b=8.845 c=8.845 alpha=141.05 beta=141.05 gamma=56.26
Positions (direct):
Rb  0.241  0.241  0.000
Rb  0.759  0.759  0.000
Na  0.500  0.500  0.000
Hg  0.000  0.000  0.000
Hg  0.100  0.600  0.500
Hg  0.400  0.900  0.500
Hg  0.600  0.100  0.500
Hg  0.900  0.400  0.500

***

No. 4
RbNa4Hg3: optimized geometry, PBE-GGA.

The value obtained for the density of states at the Fermi level is 2.79 states/eV/cell. For the magnetization, the calculation gives 0.00 μB per formula unit. The total energy is -1.057 eV per atom. The value obtained for the calculated formation energy is -0.164 eV/atom.

Unit cell a=5.048 b=5.048 c=10.987 alpha=90.00 beta=90.00 gamma=90.00
Positions (direct):
Rb  0.000  0.000  0.000
Na  0.000  0.500  0.329
Na  0.000  0.500  0.671
Na  0.500  0.000  0.329
Na  0.500  0.000  0.671
Hg  0.000  0.000  0.500
Hg  0.500  0.500  0.140
Hg  0.500  0.500  0.860

***

No. 5
RbNa10Hg2: optimized geometry, PBE-GGA.

The value obtained for the density of states at the Fermi level is 12.91 states/eV/cell. For the magnetization, the calculation gives 0.00 μB per formula unit. The total energy is -1.219 eV per atom. The value obtained for the calculated formation energy is -0.083 eV/atom.

Unit cell a=8.927 b=8.927 c=11.636 alpha=90.00 beta=90.00 gamma=98.64
Positions (direct):
Rb  0.122  0.878  0.750
Rb  0.878  0.122  0.250
Na  0.123  0.411  0.750
Na  0.169  0.831  0.094
Na  0.169  0.831  0.406
Na  0.225  0.225  0.000
Na  0.225  0.225  0.500
Na  0.232  0.474  0.250
Na  0.383  0.617  0.558
Na  0.383  0.617  0.942
Na  0.411  0.123  0.250
Na  0.474  0.232  0.750
Na  0.526  0.768  0.250
Na  0.589  0.877  0.750
Na  0.617  0.383  0.058
Na  0.617  0.383  0.442
Na  0.768  0.526  0.750
Na  0.775  0.775  0.000
Na  0.775  0.775  0.500
Na  0.831  0.169  0.594
Na  0.831  0.169  0.906
Na  0.877  0.589  0.250
Hg  0.000  0.500  0.000
Hg  0.000  0.500  0.500
Hg  0.500  0.000  0.000
Hg  0.500  0.000  0.500

***

No. 6
RbNaHg2: optimized geometry, PBE-GGA.

The value obtained for the density of states at the Fermi level is 1.99 states/eV/cell. For the magnetization, the calculation gives 0.00 μB per formula unit. The total energy is -0.951 eV per atom. The polymorph energy (0 for the lowest one) is 0.000 eV/atom. The value obtained for the calculated formation energy is -0.228 eV/atom.

Unit cell a=4.099 b=4.099 c=8.133 alpha=90.00 beta=90.00 gamma=90.00
Positions (direct):
Rb  0.000  0.000  0.000
Na  0.000  0.000  0.500
Hg  0.500  0.500  0.311
Hg  0.500  0.500  0.689

***

No. 7
RbNa6Hg: optimized geometry, PBE-GGA.

The value obtained for the density of states at the Fermi level is 5.20 states/eV/cell. For the magnetization, the calculation gives 0.00 μB per formula unit. The total energy is -1.159 eV per atom. The polymorph energy (0 for the lowest one) is 0.017 eV/atom. The value obtained for the calculated formation energy is -0.011 eV/atom.

Unit cell a=5.330 b=5.330 c=11.964 alpha=90.00 beta=90.00 gamma=90.00
Positions (direct):
Rb  0.000  0.000  0.000
Na  0.000  0.500  0.353
Na  0.000  0.500  0.647
Na  0.500  0.000  0.353
Na  0.500  0.000  0.647
Na  0.500  0.500  0.148
Na  0.500  0.500  0.852
Hg  0.000  0.000  0.500

***

No. 8
Rb2NaHg4: optimized geometry, PBE-GGA.

The value obtained for the density of states at the Fermi level is 3.61 states/eV/cell. For the magnetization, the calculation gives 0.00 μB per formula unit. The total energy is -0.817 eV per atom. The polymorph energy (0 for the lowest one) is 0.000 eV/atom. The value obtained for the calculated formation energy is -0.180 eV/atom.

Unit cell a=8.963 b=8.963 c=5.390 alpha=90.00 beta=90.00 gamma=136.19
Positions (direct):
Rb  0.156  0.844  0.000
Rb  0.844  0.156  0.000
Na  0.500  0.500  0.500
Hg  0.310  0.690  0.500
Hg  0.406  0.594  0.000
Hg  0.594  0.406  0.000
Hg  0.690  0.310  0.500

***

No. 9
Rb6Na15Hg8: optimized geometry, PBE-GGA.

The value obtained for the density of states at the Fermi level is 11.81 states/eV/cell. For the magnetization, the calculation gives 0.00 μB per formula unit. The total energy is -1.091 eV per atom. The value obtained for the calculated formation energy is -0.125 eV/atom.

Unit cell a=11.822 b=11.822 c=11.822 alpha=60.00 beta=60.00 gamma=60.00
Positions (direct):
Rb  0.247  0.247  0.753
Rb  0.247  0.753  0.247
Rb  0.247  0.753  0.753
Rb  0.753  0.247  0.247
Rb  0.753  0.247  0.753
Rb  0.753  0.753  0.247
Na  0.000  0.000  0.500
Na  0.000  0.500  0.000
Na  0.000  0.500  0.500
Na  0.174  0.174  0.174
Na  0.174  0.174  0.477
Na  0.174  0.477  0.174
Na  0.477  0.174  0.174
Na  0.500  0.000  0.000
Na  0.500  0.000  0.500
Na  0.500  0.500  0.000
Na  0.500  0.500  0.500
Na  0.523  0.826  0.826
Na  0.826  0.523  0.826
Na  0.826  0.826  0.523
Na  0.826  0.826  0.826
Hg  0.094  0.635  0.635
Hg  0.365  0.365  0.365
Hg  0.365  0.365  0.906
Hg  0.365  0.906  0.365
Hg  0.635  0.094  0.635
Hg  0.635  0.635  0.094
Hg  0.635  0.635  0.635
Hg  0.906  0.365  0.365

***

No. 10
Rb3NaHg2: optimized geometry, PBE-GGA.

The value obtained for the density of states at the Fermi level is 3.69 states/eV/cell. For the magnetization, the calculation gives 0.00 μB per formula unit. The total energy is -0.921 eV per atom. The polymorph energy (0 for the lowest one) is 0.036 eV/atom. The value obtained for the calculated formation energy is -0.117 eV/atom.

Unit cell a=9.552 b=9.552 c=9.552 alpha=62.32 beta=62.32 gamma=62.32
Positions (direct):
Rb  0.032  0.750  0.468
Rb  0.250  0.532  0.968
Rb  0.468  0.032  0.750
Rb  0.532  0.968  0.250
Rb  0.750  0.468  0.032
Rb  0.968  0.250  0.532
Na  0.000  0.000  0.000
Na  0.500  0.500  0.500
Hg  0.139  0.139  0.139
Hg  0.361  0.361  0.361
Hg  0.639  0.639  0.639
Hg  0.861  0.861  0.861

***

No. 11
Rb4Na4Hg: optimized geometry, PBE-GGA.

The value obtained for the density of states at the Fermi level is 4.58 states/eV/cell. For the magnetization, the calculation gives 0.00 μB per formula unit. The total energy is -1.031 eV per atom. The value obtained for the calculated formation energy is 0.019 eV/atom.

Unit cell a=10.035 b=10.035 c=10.035 alpha=131.68 beta=131.68 gamma=70.74
Positions (direct):
Rb  0.142  0.142  0.552
Rb  0.410  0.858  0.000
Rb  0.590  0.590  0.448
Rb  0.858  0.410  0.000
Na  0.104  0.675  0.000
Na  0.325  0.325  0.429
Na  0.675  0.104  0.000
Na  0.896  0.896  0.571
Hg  0.000  0.000  0.000

***

No. 12
Rb3NaHg2: optimized geometry, PBE-GGA.

The value obtained for the density of states at the Fermi level is 13.54 states/eV/cell. For the magnetization, the calculation gives 0.00 μB per formula unit. The total energy is -0.957 eV per atom. The polymorph energy (0 for the lowest one) is 0.000 eV/atom. The value obtained for the calculated formation energy is -0.153 eV/atom.

Unit cell a=7.385 b=14.468 c=12.109 alpha=90.00 beta=115.35 gamma=90.00
Positions (direct):
Rb  0.112  0.190  0.279
Rb  0.112  0.310  0.779
Rb  0.224  0.597  0.621
Rb  0.224  0.903  0.121
Rb  0.253  0.593  0.014
Rb  0.253  0.907  0.514
Rb  0.747  0.093  0.486
Rb  0.747  0.407  0.986
Rb  0.776  0.097  0.879
Rb  0.776  0.403  0.379
Rb  0.888  0.690  0.221
Rb  0.888  0.810  0.721
Na  0.468  0.141  0.076
Na  0.468  0.359  0.576
Na  0.532  0.641  0.424
Na  0.532  0.859  0.924
Hg  0.223  0.036  0.800
Hg  0.223  0.464  0.300
Hg  0.312  0.154  0.614
Hg  0.312  0.346  0.114
Hg  0.688  0.654  0.886
Hg  0.688  0.846  0.386
Hg  0.777  0.536  0.700
Hg  0.777  0.964  0.200